(1)
8
Lattice="7.037 0.000 0.000 -3.508 6.104 0.000 -3.502 -2.033 6.083" Properties=species:S:1:pos:R:3 comment="Y6CdPd (GGA-PBE, relaxed)" e_form_ev_per_atom=-0.0283 pbc="T T T"
Y -0.932 -0.083 1.534
Y -1.354 3.904 1.532
Y -2.291 1.780 4.550
Y 2.317 2.292 1.533
Y 1.380 0.167 4.551
Y 0.959 4.154 4.549
Cd 3.518 0.000 0.000
Pd 0.013 2.036 3.041


(2)
5
Lattice="5.503 0.000 0.000 0.000 5.503 0.000 0.000 0.000 3.698" Properties=species:S:1:pos:R:3 comment="La2InCoC (GGA-PBE, relaxed)" e_form_ev_per_atom=-0.2469 pbc="T T T"
La 0.000 2.752 0.000
La 2.752 0.000 0.000
In 0.000 0.000 1.849
Co 2.752 2.752 1.849
C 2.752 2.752 0.000


(3)
4
Lattice="7.192 -2.107 0.000 7.192 2.107 0.000 -0.956 0.000 8.011" Properties=species:S:1:pos:R:3 comment="K2BaCa (GGA-PBE, relaxed)" e_form_ev_per_atom=0.1490 relative_energy_kj_per_mol_atoms=6.1 pbc="T T T"
K 0.000 0.000 0.000
K 2.821 0.000 6.087
Ba 6.597 0.000 3.817
Ca 10.490 0.000 2.198


(4)
5
Lattice="4.613 0.000 0.000 0.000 4.613 0.000 0.000 0.000 4.613" Properties=species:S:1:pos:R:3 comment="ScAlP3 (GGA-PBE, relaxed)" e_form_ev_per_atom=0.2125 relative_energy_kj_per_mol_atoms=0.0 pbc="T T T"
Sc 0.000 0.000 0.000
Al 2.307 2.307 2.307
P 0.000 2.307 2.307
P 2.307 0.000 2.307
P 2.307 2.307 0.000


(5)
3
Lattice="4.293 0.000 0.000 -2.147 3.718 0.000 0.000 0.000 2.672" Properties=species:S:1:pos:R:3 comment="ZnReRh (GGA-PBE, relaxed)" e_form_ev_per_atom=0.0884 relative_energy_kj_per_mol_atoms=25.3 pbc="T T T"
Zn 0.000 0.000 0.000
Re 0.000 2.479 1.336
Rh 2.147 1.239 0.000


(6)
6
Lattice="4.998 0.000 0.000 0.000 4.998 0.000 0.000 0.000 8.767" Properties=species:S:1:pos:R:3 comment="AcPrTl (GGA-PBE, relaxed)" e_form_ev_per_atom=-0.2527 relative_energy_kj_per_mol_atoms=0.0 pbc="T T T"
Ac 1.249 1.249 1.272
Ac 3.748 3.748 7.495
Pr 1.249 3.748 4.383
Pr 3.748 1.249 4.383
Tl 1.249 1.249 6.664
Tl 3.748 3.748 2.103


(7)
20
Lattice="3.576 0.000 0.000 0.000 3.576 0.000 0.000 0.000 17.961" Properties=species:S:1:pos:R:3 comment="Zn4GaNi15 (GGA-PBE, relaxed)" e_form_ev_per_atom=-0.1404 pbc="T T T"
Zn 0.000 0.000 1.795
Zn 0.000 0.000 5.384
Zn 0.000 0.000 12.577
Zn 0.000 0.000 16.166
Ga 0.000 0.000 8.980
Ni 0.000 1.788 0.000
Ni 0.000 1.788 3.590
Ni 0.000 1.788 7.188
Ni 0.000 1.788 10.773
Ni 0.000 1.788 14.371
Ni 1.788 0.000 0.000
Ni 1.788 0.000 3.590
Ni 1.788 0.000 7.188
Ni 1.788 0.000 10.773
Ni 1.788 0.000 14.371
Ni 1.788 1.788 1.795
Ni 1.788 1.788 5.390
Ni 1.788 1.788 8.980
Ni 1.788 1.788 12.571
Ni 1.788 1.788 16.165


(8)
18
Lattice="1.931 -6.084 0.000 1.931 6.084 0.000 0.000 0.000 11.980" Properties=species:S:1:pos:R:3 comment="HoP3Ru5 (GGA-PBE, relaxed)" e_form_ev_per_atom=-0.5450 pbc="T T T"
Ho 1.931 4.078 8.985
Ho 1.931 -4.078 2.995
P 1.931 4.479 2.995
P 1.931 1.376 0.569
P 1.931 1.376 5.421
P 1.931 -1.376 6.559
P 1.931 -1.376 11.411
P 1.931 -4.479 8.985
Ru 0.000 0.000 0.000
Ru 0.000 0.000 5.990
Ru 1.931 3.571 0.905
Ru 1.931 3.571 5.085
Ru 1.931 0.682 7.758
Ru 1.931 0.682 10.212
Ru 1.931 -0.682 1.768
Ru 1.931 -0.682 4.222
Ru 1.931 -3.571 6.895
Ru 1.931 -3.571 11.074


(9)
4
Lattice="0.000 3.231 3.231 3.231 0.000 3.231 3.231 3.231 0.000" Properties=species:S:1:pos:R:3 comment="Hf2MgN (GGA-PBE, relaxed)" formation_energy_uncorrected_ev_per_fu=3.35 relative_energy_kj_per_mol_atoms=137.4 pbc="T T T"
Hf 1.615 1.615 1.615
Hf 4.846 4.846 4.846
Mg 0.000 0.000 0.000
N 3.231 3.231 3.231


(10)
18
Lattice="6.497 -7.165 0.000 6.497 7.165 0.000 -1.469 0.000 6.470" Properties=species:S:1:pos:R:3 comment="PmNd2Y6 (GGA-PBE, relaxed)" e_form_ev_per_atom=0.0978 pbc="T T T"
Pm 5.395 5.457 4.853
Pm 6.129 -5.457 1.618
Nd 3.752 0.375 4.059
Nd 4.487 -0.375 0.824
Nd 7.038 0.375 5.646
Nd 7.772 -0.375 2.411
Y 0.549 1.232 5.274
Y 2.971 2.877 1.743
Y 1.284 -1.232 2.039
Y 4.583 2.700 6.454
Y 6.207 2.700 3.251
Y 2.237 -2.877 4.978
Y 9.287 2.877 1.492
Y 5.317 -2.700 3.219
Y 6.941 -2.700 0.016
Y 10.241 1.232 4.431
Y 8.553 -2.877 4.727
Y 10.975 -1.232 1.196


(11)
8
Lattice="2.821 0.000 0.000 0.000 2.821 0.000 0.000 0.000 13.826" Properties=species:S:1:pos:R:3 comment="Mg5C3 (GGA-PBE, relaxed)" e_form_ev_per_atom=0.8820 relative_energy_kj_per_mol_atoms=30.3 pbc="T T T"
Mg 0.000 0.000 0.000
Mg 0.000 0.000 2.787
Mg 0.000 0.000 11.039
Mg 1.410 1.410 5.572
Mg 1.410 1.410 8.254
C 0.000 0.000 6.913
C 1.410 1.410 1.553
C 1.410 1.410 12.273


(12)
80
Lattice="-9.665 9.665 9.665 9.665 -9.665 9.665 9.665 9.665 -9.665" Properties=species:S:1:pos:R:3 comment="Ac3La12Tl5 (GGA-PBE, relaxed)" e_form_ev_per_atom=0.3942 pbc="T T T"
Ac 4.832 2.416 0.000
Ac 9.665 4.832 -2.416
Ac 2.416 0.000 4.832
Ac 12.081 0.000 4.832
Ac 0.000 4.832 2.416
Ac 4.832 -2.416 9.665
Ac 4.832 12.081 0.000
Ac 9.665 4.832 7.248
Ac -2.416 9.665 4.832
Ac 7.248 9.665 4.832
Ac 0.000 4.832 12.081
Ac 4.832 7.248 9.665
La 2.809 -0.492 1.382
La 11.687 6.214 -5.325
La 9.172 -1.382 2.809
La 14.989 -2.023 3.450
La 12.474 0.492 1.382
La 11.687 -3.450 5.325
La 1.382 2.809 -0.492
La 13.115 4.340 -2.023
La 6.214 5.325 -2.023
La 8.282 2.809 0.492
La -0.492 1.382 2.809
La 5.325 -2.023 6.214
La 9.172 8.282 -2.809
La 5.325 2.023 3.450
La 8.282 -2.809 9.172
La 6.214 -5.325 11.687
La 3.450 5.325 2.023
La 11.047 6.855 0.492
La 2.809 9.172 -1.382
La 11.687 3.450 4.340
La 5.325 11.687 -3.450
La 9.172 1.382 6.855
La 2.023 3.450 5.325
La 2.809 0.492 8.282
La 6.855 9.172 1.382
La 7.642 6.214 4.340
La 0.492 8.282 2.809
La 4.340 -2.023 13.115
La -2.023 6.214 5.325
La 6.855 0.492 11.047
La -1.382 2.809 9.172
La 6.214 4.340 7.642
La 3.450 14.989 -2.023
La 1.382 12.474 0.492
La 4.340 7.642 6.214
La 0.492 1.382 12.474
La 4.340 11.687 3.450
La 10.157 8.282 6.855
La 1.382 6.855 9.172
La 3.450 4.340 11.687
La -3.450 5.325 11.687
La 8.282 6.855 10.157
La -2.023 13.115 4.340
La -2.809 9.172 8.282
La -5.325 11.687 6.214
La 0.492 11.047 6.855
La -2.023 3.450 14.989
La 6.855 10.157 8.282
Tl 0.000 0.000 0.000
Tl 4.832 4.832 -4.832
Tl 4.832 -4.832 4.832
Tl 9.665 0.000 0.000
Tl 14.497 2.416 0.000
Tl 9.665 -4.832 7.248
Tl 7.248 9.665 -4.832
Tl 7.248 0.000 4.832
Tl 4.832 7.248 0.000
Tl 9.665 4.832 2.416
Tl -4.832 4.832 4.832
Tl 0.000 9.665 0.000
Tl 0.000 0.000 9.665
Tl 4.832 4.832 4.832
Tl 0.000 4.832 7.248
Tl 4.832 2.416 9.665
Tl 2.416 9.665 4.832
Tl 2.416 0.000 14.497
Tl 0.000 14.497 2.416
Tl -4.832 7.248 9.665